w:
A relaxed structure of Sm4Sn2C, computed with PBE.

Cell lengths 6.689, 6.828, 9.450 Å; angles 90.00, 110.33, 90.00 degrees
Sites, in units of the cell vectors:
Sm: 0.173 0.250 0.064
Sm: 0.242 0.501 0.731
Sm: 0.242 0.999 0.731
Sm: 0.282 0.750 0.349
Sm: 0.718 0.250 0.651
Sm: 0.758 0.001 0.269
Sm: 0.758 0.499 0.269
Sm: 0.827 0.750 0.936
Sn: 0.222 0.250 0.421
Sn: 0.348 0.750 0.036
Sn: 0.652 0.250 0.964
Sn: 0.778 0.750 0.579
C: 0.075 0.250 0.803
C: 0.925 0.750 0.197

Properties
- Symmetry: P2_1/m, No. 11
- Magnetic moment: 0.00 μB/atom



x:
A relaxed structure of Sm4Sn2C, computed with PBE.

Cell lengths 8.885, 8.885, 8.885 Å; angles 147.79, 147.79, 46.19 degrees
Sites, in units of the cell vectors:
Sm: 0.000 0.500 0.500
Sm: 0.161 0.161 0.000
Sm: 0.500 0.000 0.500
Sm: 0.839 0.839 0.000
Sn: 0.361 0.361 0.000
Sn: 0.639 0.639 0.000
C: 0.000 0.000 0.000

Properties
- Symmetry: I4/mmm, No. 139
- Magnetic moment: 0.00 μB/atom



Which of them is least stable? Easy: w.



w:
A relaxed structure of Tb2SmC, computed with PBE.

Cell lengths 10.045, 10.045, 10.045 Å; angles 20.34, 20.34, 20.34 degrees
Sites, in units of the cell vectors:
Tb: 0.121 0.121 0.121
Tb: 0.879 0.879 0.879
Sm: 0.000 0.000 0.000
C: 0.500 0.500 0.500

Properties
- Symmetry: R-3m, No. 166
- Magnetic moment: 0.00 μB/atom



x:
A relaxed structure of Tb2SmC, computed with PBE.

Cell lengths 3.605, 3.605, 9.259 Å; angles 90.00, 90.00, 120.00 degrees
Sites, in units of the cell vectors:
Tb: 0.333 0.667 0.147
Tb: 0.667 0.333 0.853
Sm: 0.000 0.000 0.500
C: 0.000 0.000 0.000

Properties
- Symmetry: P-3m1, No. 164
- Magnetic moment: 0.00 μB/atom



Which of them is least stable? Easy: w.



w:
A relaxed structure of SmTcC, computed with PBE.

Cell lengths 3.534, 3.534, 4.613 Å; angles 90.00, 90.00, 120.00 degrees
Sites, in units of the cell vectors:
Sm: 0.000 0.000 0.000
Tc: 0.667 0.333 0.499
C: 0.333 0.667 0.499

Properties
- Symmetry: P3m1, No. 156
- Magnetic moment: 0.00 μB/atom



x:
A relaxed structure of SmTcC, computed with PBE.

Cell lengths 8.896, 8.896, 7.006 Å; angles 91.74, 91.74, 25.23 degrees
Sites, in units of the cell vectors:
Sm: 0.101 0.101 0.337
Sm: 0.397 0.397 0.108
Sm: 0.603 0.603 0.892
Sm: 0.899 0.899 0.663
Tc: 0.258 0.258 0.853
Tc: 0.290 0.290 0.423
Tc: 0.710 0.710 0.577
Tc: 0.742 0.742 0.147
C: 0.181 0.181 0.061
C: 0.191 0.191 0.612
C: 0.809 0.809 0.388
C: 0.819 0.819 0.939

Properties
- Symmetry: C2/m, No. 12
- Magnetic moment: 0.00 μB/atom



Which of them is least stable? Easy: w.



w:
A relaxed structure of SmTcC, computed with PBE.

Cell lengths 5.500, 5.500, 5.500 Å; angles 148.54, 148.54, 45.09 degrees
Sites, in units of the cell vectors:
Sm: 0.000 0.000 0.000
Tc: 0.276 0.276 0.000
C: 0.711 0.711 0.000

Properties
- Symmetry: I4mm, No. 107
- Magnetic moment: 0.00 μB/atom



x:
A relaxed structure of SmTcC, computed with PBE.

Cell lengths 5.698, 3.616, 5.261 Å; angles 90.00, 90.00, 90.00 degrees
Sites, in units of the cell vectors:
Sm: 0.250 0.000 0.248
Sm: 0.750 0.000 0.752
Tc: 0.250 0.500 0.758
Tc: 0.750 0.500 0.242
C: 0.000 0.500 0.000
C: 0.500 0.500 0.000

Properties
- Symmetry: Pmma, No. 51
- Magnetic moment: 0.00 μB/atom



Which of them is least stable? Easy: w.